Record 1
A plane-wave DFT calculation with GGA+U was carried out for an optimized crystal structure of Rb7SmFe6P8O34.

Lattice parameters (Å, degrees): 9.432 10.119 10.137 91.45 94.78 116.55
Fractional coordinates of all 56 atoms:
Sm  0.500  0.500  0.500
Rb  0.072  0.203  0.345
Rb  0.628  0.972  0.375
Rb  0.500  0.000  0.000
Rb  0.684  0.441  0.910
Rb  0.372  0.028  0.625
Rb  0.928  0.797  0.655
Rb  0.316  0.559  0.090
O  0.414  0.367  0.291
O  0.917  0.729  0.962
O  0.104  0.638  0.883
O  0.083  0.271  0.038
O  0.391  0.734  0.771
O  0.717  0.177  0.630
O  0.609  0.266  0.229
O  0.660  0.905  0.705
O  0.783  0.577  0.244
O  0.283  0.823  0.370
O  0.816  0.086  0.115
O  0.340  0.095  0.295
O  0.896  0.362  0.117
O  0.813  0.213  0.903
O  0.217  0.423  0.756
O  0.295  0.291  0.582
O  0.184  0.914  0.885
O  0.663  0.391  0.556
O  0.932  0.443  0.669
O  0.841  0.311  0.435
O  0.159  0.689  0.565
O  0.337  0.609  0.444
O  0.019  0.164  0.652
O  0.738  0.797  0.188
O  0.981  0.836  0.348
O  0.262  0.203  0.812
O  0.187  0.787  0.097
O  0.705  0.709  0.418
O  0.068  0.557  0.331
O  0.062  0.991  0.118
O  0.629  0.785  0.928
O  0.938  0.009  0.882
O  0.586  0.633  0.709
O  0.371  0.215  0.072
P  0.802  0.729  0.298
P  0.790  0.334  0.574
P  0.198  0.271  0.702
P  0.566  0.760  0.778
P  0.095  0.770  0.955
P  0.434  0.240  0.222
P  0.210  0.666  0.426
P  0.905  0.230  0.045
Fe  0.839  0.420  0.278
Fe  0.844  0.891  0.029
Fe  0.161  0.580  0.722
Fe  0.837  0.099  0.758
Fe  0.163  0.901  0.242
Fe  0.156  0.109  0.971

The total energy comes out at -377.22 eV for the cell shown. For the density, the calculation gives 3.62 Mg/m³.



Record 2
A plane-wave DFT calculation with GGA+U was carried out for an optimized crystal structure of FeReP2O.

Lattice parameters (Å, degrees): 4.778 4.778 3.707 90.00 90.00 90.00
Fractional coordinates of all 5 atoms:
Fe  0.500  0.500  0.500
O  0.000  0.000  0.500
P  0.000  0.500  0.000
P  0.500  0.000  0.000
Re  0.000  0.000  0.000

The calculation puts the excess energy over the best structure of this formula in the dataset at 0 meV per atom. For the density, the calculation gives 6.28 Mg/m³.



Record 3
A plane-wave DFT calculation with GGA+U was carried out for an optimized crystal structure of FeReP2O.

Lattice parameters (Å, degrees): 4.557 4.557 3.257 90.00 90.00 90.00
Fractional coordinates of all 5 atoms:
P  0.500  0.000  0.000
P  0.000  0.500  0.000
O  0.000  0.000  0.500
Fe  0.000  0.000  0.000
Re  0.500  0.500  0.500

The calculation puts the excess energy over the best structure of this formula in the dataset at 725 meV per atom. For the density, the calculation gives 7.86 Mg/m³.



Record 4
A plane-wave DFT calculation with GGA+U was carried out for an optimized crystal structure of FePS2O.

Lattice parameters (Å, degrees): 4.469 4.469 4.647 90.00 90.00 90.00
Fractional coordinates of all 5 atoms:
S  0.000  0.500  0.000
S  0.500  0.000  0.000
Fe  0.000  0.000  0.000
P  0.000  0.000  0.500
O  0.500  0.500  0.500

The calculation puts the excess energy over the best structure of this formula in the dataset at 504 meV per atom. For the density, the calculation gives 2.99 Mg/m³.



Record 5
A plane-wave DFT calculation with GGA+U was carried out for an optimized crystal structure of FePS2O.

Lattice parameters (Å, degrees): 4.649 4.649 3.648 90.00 90.00 90.00
Fractional coordinates of all 5 atoms:
S  0.500  0.000  0.000
S  0.000  0.500  0.000
O  0.000  0.000  0.000
P  0.000  0.000  0.500
Fe  0.500  0.500  0.500

The calculation puts the excess energy over the best structure of this formula in the dataset at 0 meV per atom. For the density, the calculation gives 3.52 Mg/m³.



Record 6
A plane-wave DFT calculation with GGA+U was carried out for an optimized crystal structure of FeSb3P6O24.

Lattice parameters (Å, degrees): 8.959 8.959 8.959 55.98 55.98 55.98
Fractional coordinates of all 34 atoms:
O  0.543  0.183  0.480
O  0.780  0.842  0.472
O  0.480  0.543  0.183
O  0.255  0.892  0.118
O  0.007  0.616  0.800
O  0.522  0.222  0.158
O  0.878  0.737  0.116
O  0.800  0.007  0.616
O  0.116  0.878  0.737
O  0.158  0.522  0.222
O  0.217  0.984  0.375
O  0.737  0.116  0.878
O  0.467  0.821  0.509
O  0.984  0.375  0.217
O  0.222  0.158  0.522
O  0.509  0.467  0.821
O  0.616  0.800  0.007
O  0.375  0.217  0.984
O  0.892  0.118  0.255
O  0.183  0.480  0.543
O  0.842  0.472  0.780
O  0.472  0.780  0.842
O  0.118  0.255  0.892
O  0.821  0.509  0.467
P  0.036  0.462  0.754
P  0.754  0.036  0.462
P  0.959  0.542  0.251
P  0.542  0.251  0.959
P  0.251  0.959  0.542
P  0.462  0.754  0.036
Sb  0.650  0.650  0.650
Sb  0.351  0.351  0.351
Sb  0.144  0.144  0.144
Fe  0.858  0.858  0.858

The total energy comes out at -233.48 eV for the cell shown. For the density, the calculation gives 3.57 Mg/m³.